(1)
{"formula": "CdGe2Mo2", "functional": "PBE", "state": "relaxed", "e_tot_ev_per_atom": -6.0094, "lattice_angstrom": [[3.6964, 0.0000, 0.0000], [0.0000, 3.6964, 0.0000], [0.0000, 0.0000, 12.9594]], "species": ["Cd", "Cd", "Ge", "Ge", "Ge", "Ge", "Mo", "Mo", "Mo", "Mo"], "fractional_positions": [[0.0000, 0.0000, 0.0000], [0.5000, 0.5000, 0.5000], [0.0000, 0.5000, 0.2500], [0.0000, 0.5000, 0.7500], [0.5000, 0.0000, 0.2500], [0.5000, 0.0000, 0.7500], [0.0000, 0.0000, 0.3992], [0.0000, 0.0000, 0.6008], [0.5000, 0.5000, 0.1008], [0.5000, 0.5000, 0.8992]]}

(2)
{"formula": "CdGeMo3", "functional": "PBE", "state": "relaxed", "e_tot_ev_per_atom": -5.0671, "lattice_angstrom": [[4.8613, 0.0000, 0.0000], [0.0000, 4.8613, 0.0000], [0.0000, 0.0000, 4.8613]], "species": ["Cd", "Ge", "Mo", "Mo", "Mo"], "fractional_positions": [[0.0000, 0.0000, 0.0000], [0.5000, 0.5000, 0.5000], [0.0000, 0.0000, 0.5000], [0.0000, 0.5000, 0.0000], [0.5000, 0.0000, 0.0000]]}

(3)
{"formula": "CdGe2Mo", "functional": "PBE", "state": "relaxed", "e_tot_ev_per_atom": -4.5200, "lattice_angstrom": [[6.1781, 0.0000, 0.0000], [0.0000, 6.1781, 0.0000], [0.0000, 0.0000, 11.1056]], "species": ["Cd", "Cd", "Cd", "Cd", "Ge", "Ge", "Ge", "Ge", "Ge", "Ge", "Ge", "Ge", "Mo", "Mo", "Mo", "Mo"], "fractional_positions": [[0.0000, 0.0000, 0.0000], [0.0000, 0.5000, 0.2500], [0.5000, 0.0000, 0.7500], [0.5000, 0.5000, 0.5000], [0.2070, 0.2500, 0.6250], [0.2500, 0.7070, 0.8750], [0.2500, 0.7930, 0.3750], [0.2930, 0.2500, 0.1250], [0.7070, 0.7500, 0.1250], [0.7500, 0.2070, 0.3750], [0.7500, 0.2930, 0.8750], [0.7930, 0.7500, 0.6250], [0.0000, 0.0000, 0.5000], [0.0000, 0.5000, 0.7500], [0.5000, 0.0000, 0.2500], [0.5000, 0.5000, 0.0000]]}

(4)
{"formula": "CdGe2Mo2", "functional": "PBE", "state": "relaxed", "e_tot_ev_per_atom": -6.2402, "lattice_angstrom": [[7.2342, 0.0000, 0.0000], [0.0000, 7.2342, 0.0000], [0.0000, 0.0000, 3.2697]], "species": ["Cd", "Cd", "Ge", "Ge", "Ge", "Ge", "Mo", "Mo", "Mo", "Mo"], "fractional_positions": [[0.0000, 0.0000, 0.0000], [0.5000, 0.5000, 0.0000], [0.1519, 0.3481, 0.5000], [0.3481, 0.8481, 0.5000], [0.6519, 0.1519, 0.5000], [0.8481, 0.6519, 0.5000], [0.1385, 0.6385, 0.0000], [0.3615, 0.1385, 0.0000], [0.6385, 0.8615, 0.0000], [0.8615, 0.3615, 0.0000]]}

(5)
{"formula": "CdGeMo", "functional": "PBE", "state": "relaxed", "e_tot_ev_per_atom": -5.1634, "lattice_angstrom": [[2.1611, 1.2477, 7.2323], [-2.1611, 1.2477, 7.2323], [0.0000, -2.4954, 7.2323]], "species": ["Cd", "Cd", "Ge", "Ge", "Mo", "Mo"], "fractional_positions": [[0.1348, 0.1348, 0.1348], [0.8652, 0.8652, 0.8652], [0.4012, 0.4012, 0.4012], [0.5988, 0.5988, 0.5988], [0.2842, 0.2842, 0.2842], [0.7158, 0.7158, 0.7158]]}

(6)
{"formula": "CdGe2Mo2", "functional": "PBE", "state": "relaxed", "e_tot_ev_per_atom": -6.1928, "lattice_angstrom": [[7.2017, 0.0000, 0.0000], [0.0000, 7.2017, 0.0000], [0.0000, 0.0000, 3.2099]], "species": ["Cd", "Cd", "Ge", "Ge", "Ge", "Ge", "Mo", "Mo", "Mo", "Mo"], "fractional_positions": [[0.0000, 0.0000, 0.0000], [0.5000, 0.5000, 0.0000], [0.1405, 0.3595, 0.0000], [0.3595, 0.8595, 0.0000], [0.6405, 0.1405, 0.0000], [0.8595, 0.6405, 0.0000], [0.1509, 0.6509, 0.5000], [0.3491, 0.1509, 0.5000], [0.6509, 0.8491, 0.5000], [0.8491, 0.3491, 0.5000]]}

(7)
{"formula": "Cd3GeMo", "functional": "PBE", "state": "relaxed", "e_tot_ev_per_atom": -2.5050, "lattice_angstrom": [[5.1499, 0.0000, 0.0000], [0.0000, 5.1499, 0.0000], [0.0000, 0.0000, 5.1499]], "species": ["Cd", "Cd", "Cd", "Ge", "Mo"], "fractional_positions": [[0.0000, 0.0000, 0.5000], [0.0000, 0.5000, 0.0000], [0.5000, 0.0000, 0.0000], [0.0000, 0.0000, 0.0000], [0.5000, 0.5000, 0.5000]]}

(8)
{"formula": "Cd3GeMo", "functional": "PBE", "state": "relaxed", "e_tot_ev_per_atom": -2.4470, "lattice_angstrom": [[5.2409, 0.0000, 0.0000], [0.0000, 5.2409, 0.0000], [0.0000, 0.0000, 5.2409]], "species": ["Cd", "Cd", "Cd", "Ge", "Mo"], "fractional_positions": [[0.0000, 0.0000, 0.5000], [0.0000, 0.5000, 0.0000], [0.5000, 0.0000, 0.0000], [0.5000, 0.5000, 0.5000], [0.0000, 0.0000, 0.0000]]}